(1)
# NiHg2Ir (GGA-PBEsol, optimized geometry)
data_NiHg2Ir
_cell_length_a 2.9476
_cell_length_b 4.8754
_cell_length_c 9.0122
_cell_angle_alpha 90.00
_cell_angle_beta 90.00
_cell_angle_gamma 90.00
_space_group_name_H-M_alt 'C m m m'
_space_group_IT_number 65
_space_group_name_Hall '-C 2 2'
loop_
_atom_site_label
_atom_site_type_symbol
_atom_site_fract_x
_atom_site_fract_y
_atom_site_fract_z
Ni1 Ni 0.0000 0.0000 0.0000
Hg1 Hg 0.0000 0.5000 0.2368
Ir1 Ir 0.0000 0.0000 0.5000
# - DOS(E_F) (states/eV per cell) = 7.29
# - final energy (eV/atom) = -3.84
# - V (Å³/atom) = 16.19

(2)
# NiHg2Ir (GGA-PBEsol, optimized geometry)
data_NiHg2Ir
_cell_length_a 2.8957
_cell_length_b 4.6457
_cell_length_c 9.6360
_cell_angle_alpha 90.00
_cell_angle_beta 90.00
_cell_angle_gamma 90.00
_space_group_name_H-M_alt 'I m m 2'
_space_group_IT_number 44
loop_
_space_group_symop_operation_xyz
'x,y,z'
'-x,-y,z'
'-x,y,z'
'x,-y,z'
'x+1/2,y+1/2,z+1/2'
'-x+1/2,-y+1/2,z+1/2'
'-x+1/2,y+1/2,z+1/2'
'x+1/2,-y+1/2,z+1/2'
loop_
_atom_site_label
_atom_site_type_symbol
_atom_site_fract_x
_atom_site_fract_y
_atom_site_fract_z
Ni1 Ni 0.0000 0.0000 0.0000
Hg1 Hg 0.0000 0.0000 0.5246
Hg2 Hg 0.0000 0.5000 0.7430
Ir1 Ir 0.0000 0.5000 0.2919
# - DOS(E_F) (states/eV per cell) = 6.54
# - final energy (eV/atom) = -3.92
# - V (Å³/atom) = 16.20

(3)
# NiHg2Ir (GGA-PBEsol, optimized geometry)
data_NiHg2Ir
_cell_length_a 8.9344
_cell_length_b 2.9822
_cell_length_c 4.9647
_cell_angle_alpha 90.00
_cell_angle_beta 103.13
_cell_angle_gamma 90.00
_space_group_name_H-M_alt 'C 1 2/m 1'
_space_group_IT_number 12
loop_
_space_group_symop_operation_xyz
'x,y,z'
'-x,-y,-z'
'-x,y,-z'
'x,-y,z'
'x+1/2,y+1/2,z'
'-x+1/2,-y+1/2,-z'
'-x+1/2,y+1/2,-z'
'x+1/2,-y+1/2,z'
loop_
_atom_site_label
_atom_site_type_symbol
_atom_site_fract_x
_atom_site_fract_y
_atom_site_fract_z
Ni1 Ni 0.0000 0.0000 0.0000
Hg1 Hg 0.2435 0.5000 0.2415
Ir1 Ir 0.0000 0.5000 0.5000
# - DOS(E_F) (states/eV per cell) = 6.20
# - final energy (eV/atom) = -3.86
# - V (Å³/atom) = 16.10

(4)
# NiHg2Ir (GGA-PBEsol, optimized geometry)
data_NiHg2Ir
_cell_length_a 2.8417
_cell_length_b 4.9369
_cell_length_c 9.5043
_cell_angle_alpha 90.00
_cell_angle_beta 90.00
_cell_angle_gamma 90.00
_space_group_name_H-M_alt 'C m m 2'
_space_group_IT_number 35
loop_
_space_group_symop_operation_xyz
'x,y,z'
'-x,-y,z'
'-x,y,z'
'x,-y,z'
'x+1/2,y+1/2,z'
'-x+1/2,-y+1/2,z'
'-x+1/2,y+1/2,z'
'x+1/2,-y+1/2,z'
loop_
_atom_site_label
_atom_site_type_symbol
_atom_site_fract_x
_atom_site_fract_y
_atom_site_fract_z
Ni1 Ni 0.0000 0.0000 0.0000
Hg1 Hg 0.0000 0.0000 0.5311
Hg2 Hg 0.0000 0.5000 0.2347
Ir1 Ir 0.0000 0.5000 0.7920
# - DOS(E_F) (states/eV per cell) = 9.18
# - final energy (eV/atom) = -3.86
# - V (Å³/atom) = 16.67

(5)
# NiHg2Ir (GGA-PBEsol, optimized geometry)
data_NiHg2Ir
_cell_length_a 3.9982
_cell_length_b 3.9982
_cell_length_c 8.0020
_cell_angle_alpha 90.00
_cell_angle_beta 90.00
_cell_angle_gamma 90.00
_space_group_name_H-M_alt 'I -4 m 2'
_space_group_IT_number 119
_space_group_name_Hall 'I -4 -2'
loop_
_atom_site_label
_atom_site_type_symbol
_atom_site_fract_x
_atom_site_fract_y
_atom_site_fract_z
Ni1 Ni 0.0000 0.0000 0.0000
Hg1 Hg 0.0000 0.0000 0.5000
Hg2 Hg 0.0000 0.5000 0.2500
Ir1 Ir 0.0000 0.5000 0.7500
# - DOS(E_F) (states/eV per cell) = 10.18
# - final energy (eV/atom) = -3.84
# - V (Å³/atom) = 15.99

(6)
# ZnNiHg2Ir (GGA-PBEsol, optimized geometry)
data_ZnNiHg2Ir
_cell_length_a 5.1746
_cell_length_b 5.1746
_cell_length_c 4.4582
_cell_angle_alpha 90.00
_cell_angle_beta 90.00
_cell_angle_gamma 90.00
_space_group_name_H-M_alt 'P 4/m m m'
_space_group_IT_number 123
_space_group_name_Hall '-P 4 2'
loop_
_atom_site_label
_atom_site_type_symbol
_atom_site_fract_x
_atom_site_fract_y
_atom_site_fract_z
Zn1 Zn 0.0000 0.0000 0.0000
Ni1 Ni 0.5000 0.5000 0.0000
Hg1 Hg 0.0000 0.5000 0.5000
Ir1 Ir 0.5000 0.5000 0.5000
# - DOS(E_F) (states/eV per cell) = 3.39
# - final energy (eV/atom) = -2.82
# - V (Å³/atom) = 23.88

(7)
# HgIrO2 (GGA-PBEsol, optimized geometry)
data_HgIrO2
_cell_length_a 6.6597
_cell_length_b 6.6597
_cell_length_c 5.4273
_cell_angle_alpha 90.00
_cell_angle_beta 90.00
_cell_angle_gamma 90.00
_space_group_name_H-M_alt 'I -4 2 d'
_space_group_IT_number 122
_space_group_name_Hall 'I -4 2bw'
loop_
_atom_site_label
_atom_site_type_symbol
_atom_site_fract_x
_atom_site_fract_y
_atom_site_fract_z
Hg1 Hg 0.0000 0.0000 0.0000
Ir1 Ir 0.0000 0.0000 0.5000
O1 O 0.1178 0.7500 0.6250
# - DOS(E_F) (states/eV per cell) = 11.12
# - V (Å³/atom) = 15.04
# - formation energy without anion corrections (eV/f.u.) = -0.043

(8)
# HgP2IrO (GGA-PBEsol, optimized geometry)
data_HgP2IrO
_cell_length_a 4.8322
_cell_length_b 4.8322
_cell_length_c 3.6692
_cell_angle_alpha 90.00
_cell_angle_beta 90.00
_cell_angle_gamma 90.00
_space_group_name_H-M_alt 'P 4/m m m'
_space_group_IT_number 123
_space_group_name_Hall '-P 4 2'
loop_
_atom_site_label
_atom_site_type_symbol
_atom_site_fract_x
_atom_site_fract_y
_atom_site_fract_z
Hg1 Hg 0.0000 0.0000 0.0000
P1 P 0.0000 0.5000 0.5000
Ir1 Ir 0.5000 0.5000 0.5000
O1 O 0.5000 0.5000 0.0000
# - DOS(E_F) (states/eV per cell) = 4.16
# - V (Å³/atom) = 17.14
# - formation energy without anion corrections (eV/f.u.) = 1.291

(9)
# Hg3IrOs (GGA-PBEsol, optimized geometry)
data_Hg3IrOs
_cell_length_a 5.0619
_cell_length_b 5.0619
_cell_length_c 5.0619
_cell_angle_alpha 90.00
_cell_angle_beta 90.00
_cell_angle_gamma 90.00
_space_group_name_H-M_alt 'P m -3 m'
_space_group_IT_number 221
_space_group_name_Hall '-P 4 2 3'
loop_
_atom_site_label
_atom_site_type_symbol
_atom_site_fract_x
_atom_site_fract_y
_atom_site_fract_z
Hg1 Hg 0.0000 0.0000 0.5000
Ir1 Ir 0.5000 0.5000 0.5000
Os1 Os 0.0000 0.0000 0.0000
# - DOS(E_F) (states/eV per cell) = 6.55
# - final energy (eV/atom) = -2.81
# - V (Å³/atom) = 25.94

(10)
# HgIrOs2 (GGA-PBEsol, optimized geometry)
data_HgIrOs2
_cell_length_a 2.7645
_cell_length_b 2.7645
_cell_length_c 27.5803
_cell_angle_alpha 90.00
_cell_angle_beta 90.00
_cell_angle_gamma 120.00
_space_group_name_H-M_alt 'R -3 m'
_space_group_IT_number 166
_space_group_name_Hall '-R 3 2"'
loop_
_atom_site_label
_atom_site_type_symbol
_atom_site_fract_x
_atom_site_fract_y
_atom_site_fract_z
Hg1 Hg 0.0000 0.0000 0.0000
Ir1 Ir 0.0000 0.0000 0.5000
Os1 Os 0.0000 0.0000 0.2443
# - DOS(E_F) (states/eV per cell) = 9.95
# - final energy (eV/atom) = -8.23
# - V (Å³/atom) = 15.21

(11)
# HgIrOs2 (GGA-PBEsol, optimized geometry)
data_HgIrOs2
_cell_length_a 3.8757
_cell_length_b 3.8757
_cell_length_c 8.0729
_cell_angle_alpha 90.00
_cell_angle_beta 90.00
_cell_angle_gamma 90.00
_space_group_name_H-M_alt 'I 4/m m m'
_space_group_IT_number 139
_space_group_name_Hall '-I 4 2'
loop_
_atom_site_label
_atom_site_type_symbol
_atom_site_fract_x
_atom_site_fract_y
_atom_site_fract_z
Hg1 Hg 0.0000 0.0000 0.0000
Ir1 Ir 0.0000 0.0000 0.5000
Os1 Os 0.0000 0.5000 0.2500
# - DOS(E_F) (states/eV per cell) = 8.47
# - final energy (eV/atom) = -7.96
# - V (Å³/atom) = 15.16

(12)
# HgPIr (GGA-PBEsol, optimized geometry)
data_HgPIr
_cell_length_a 3.9271
_cell_length_b 3.9271
_cell_length_c 3.9425
_cell_angle_alpha 90.00
_cell_angle_beta 90.00
_cell_angle_gamma 120.00
_space_group_name_H-M_alt 'P -6 m 2'
_space_group_IT_number 187
_space_group_name_Hall 'P -6 2'
loop_
_atom_site_label
_atom_site_type_symbol
_atom_site_fract_x
_atom_site_fract_y
_atom_site_fract_z
Hg1 Hg 0.0000 0.0000 0.0000
P1 P 0.6667 0.3333 0.5000
Ir1 Ir 0.3333 0.6667 0.5000
# - DOS(E_F) (states/eV per cell) = 1.44
# - final energy (eV/atom) = -5.25
# - V (Å³/atom) = 17.55

(13)
# HgP2Ir (GGA-PBEsol, optimized geometry)
data_HgP2Ir
_cell_length_a 2.8141
_cell_length_b 2.8219
_cell_length_c 18.4569
_cell_angle_alpha 90.00
_cell_angle_beta 90.00
_cell_angle_gamma 90.00
_space_group_name_H-M_alt 'I m m 2'
_space_group_IT_number 44
loop_
_space_group_symop_operation_xyz
'x,y,z'
'-x,-y,z'
'-x,y,z'
'x,-y,z'
'x+1/2,y+1/2,z+1/2'
'-x+1/2,-y+1/2,z+1/2'
'-x+1/2,y+1/2,z+1/2'
'x+1/2,-y+1/2,z+1/2'
loop_
_atom_site_label
_atom_site_type_symbol
_atom_site_fract_x
_atom_site_fract_y
_atom_site_fract_z
Hg1 Hg 0.0000 0.0000 0.0000
P1 P 0.0000 0.0000 0.6538
P2 P 0.0000 0.5000 0.3371
Ir1 Ir 0.0000 0.5000 0.7603
# - DOS(E_F) (states/eV per cell) = 2.57
# - final energy (eV/atom) = -5.46
# - V (Å³/atom) = 18.32

(14)
# HgP2Ir (GGA-PBEsol, optimized geometry)
data_HgP2Ir
_cell_length_a 6.3370
_cell_length_b 6.3370
_cell_length_c 6.3370
_cell_angle_alpha 90.00
_cell_angle_beta 90.00
_cell_angle_gamma 90.00
_space_group_name_H-M_alt 'F -4 3 m'
_space_group_IT_number 216
_space_group_name_Hall 'F -4 2 3'
loop_
_atom_site_label
_atom_site_type_symbol
_atom_site_fract_x
_atom_site_fract_y
_atom_site_fract_z
Hg1 Hg 0.0000 0.0000 0.0000
P1 P 0.0000 0.0000 0.5000
P2 P 0.2500 0.2500 0.2500
Ir1 Ir 0.2500 0.2500 0.7500
# - DOS(E_F) (states/eV per cell) = 10.49
# - final energy (eV/atom) = -4.73
# - V (Å³/atom) = 15.91

(15)
# HgPIr (GGA-PBEsol, optimized geometry)
data_HgPIr
_cell_length_a 2.8793
_cell_length_b 2.8793
_cell_length_c 12.5470
_cell_angle_alpha 90.00
_cell_angle_beta 90.00
_cell_angle_gamma 90.00
_space_group_name_H-M_alt 'I 4 m m'
_space_group_IT_number 107
_space_group_name_Hall 'I 4 -2'
loop_
_atom_site_label
_atom_site_type_symbol
_atom_site_fract_x
_atom_site_fract_y
_atom_site_fract_z
Hg1 Hg 0.0000 0.0000 0.0000
P1 P 0.0000 0.0000 0.7150
Ir1 Ir 0.0000 0.0000 0.3159
# - DOS(E_F) (states/eV per cell) = 1.55
# - final energy (eV/atom) = -5.42
# - V (Å³/atom) = 17.34

(16)
# Hg2PIr (GGA-PBEsol, optimized geometry)
data_Hg2PIr
_cell_length_a 2.8355
_cell_length_b 5.0323
_cell_length_c 9.9671
_cell_angle_alpha 90.00
_cell_angle_beta 90.00
_cell_angle_gamma 90.00
_space_group_name_H-M_alt 'C m m m'
_space_group_IT_number 65
_space_group_name_Hall '-C 2 2'
loop_
_atom_site_label
_atom_site_type_symbol
_atom_site_fract_x
_atom_site_fract_y
_atom_site_fract_z
Hg1 Hg 0.0000 0.0000 0.2410
P1 P 0.0000 0.5000 0.5000
Ir1 Ir 0.0000 0.5000 0.0000
# - DOS(E_F) (states/eV per cell) = 4.20
# - final energy (eV/atom) = -3.59
# - V (Å³/atom) = 17.78

(17)
# HgPIr2 (GGA-PBEsol, optimized geometry)
data_HgPIr2
_cell_length_a 5.9208
_cell_length_b 6.8988
_cell_length_c 2.9837
_cell_angle_alpha 90.00
_cell_angle_beta 90.00
_cell_angle_gamma 90.00
_space_group_name_H-M_alt 'C m m m'
_space_group_IT_number 65
_space_group_name_Hall '-C 2 2'
loop_
_atom_site_label
_atom_site_type_symbol
_atom_site_fract_x
_atom_site_fract_y
_atom_site_fract_z
Hg1 Hg 0.0000 0.0000 0.0000
P1 P 0.0000 0.5000 0.0000
Ir1 Ir 0.2500 0.2500 0.5000
# - DOS(E_F) (states/eV per cell) = 7.27
# - final energy (eV/atom) = -5.96
# - V (Å³/atom) = 15.23

(18)
# HgP2Ir (GGA-PBEsol, optimized geometry)
data_HgP2Ir
_cell_length_a 3.1972
_cell_length_b 3.1972
_cell_length_c 21.5267
_cell_angle_alpha 90.00
_cell_angle_beta 90.00
_cell_angle_gamma 120.00
_space_group_name_H-M_alt 'R 3 m'
_space_group_IT_number 160
_space_group_name_Hall 'R 3 -2"'
loop_
_atom_site_label
_atom_site_type_symbol
_atom_site_fract_x
_atom_site_fract_y
_atom_site_fract_z
Hg1 Hg 0.0000 0.0000 0.0000
P1 P 0.0000 0.0000 0.2361
P2 P 0.0000 0.0000 0.5049
Ir1 Ir 0.0000 0.0000 0.7686
# - DOS(E_F) (states/eV per cell) = 6.92
# - final energy (eV/atom) = -5.33
# - V (Å³/atom) = 15.88

(19)
# HgP2Ir (GGA-PBEsol, optimized geometry)
data_HgP2Ir
_cell_length_a 8.0645
_cell_length_b 3.1028
_cell_length_c 6.1439
_cell_angle_alpha 90.00
_cell_angle_beta 104.61
_cell_angle_gamma 90.00
_space_group_name_H-M_alt 'C 1 m 1'
_space_group_IT_number 8
loop_
_space_group_symop_operation_xyz
'x,y,z'
'x,-y,z'
'x+1/2,y+1/2,z'
'x+1/2,-y+1/2,z'
loop_
_atom_site_label
_atom_site_type_symbol
_atom_site_fract_x
_atom_site_fract_y
_atom_site_fract_z
Hg1 Hg 0.0000 0.0000 0.0000
P1 P 0.2354 0.0000 0.7093
P2 P 0.3464 0.0000 0.4234
Ir1 Ir 0.1259 0.5000 0.3954
# - DOS(E_F) (states/eV per cell) = 3.31
# - final energy (eV/atom) = -5.49
# - V (Å³/atom) = 18.60

(20)
# HgPIr2 (GGA-PBEsol, optimized geometry)
data_HgPIr2
_cell_length_a 6.8610
_cell_length_b 6.8610
_cell_length_c 5.5194
_cell_angle_alpha 90.00
_cell_angle_beta 90.00
_cell_angle_gamma 90.00
_space_group_name_H-M_alt 'I -4 2 d'
_space_group_IT_number 122
_space_group_name_Hall 'I -4 2bw'
loop_
_atom_site_label
_atom_site_type_symbol
_atom_site_fract_x
_atom_site_fract_y
_atom_site_fract_z
Hg1 Hg 0.0000 0.0000 0.0000
P1 P 0.0000 0.0000 0.5000
Ir1 Ir 0.1800 0.7500 0.6250
# - DOS(E_F) (states/eV per cell) = 9.88
# - final energy (eV/atom) = -6.38
# - V (Å³/atom) = 16.24